First-principles (PBE) data for crystalline Hf4ZrOs5 at its relaxed geometry, as listed in Alexandria via LeMat-Bulk.

Summary:
For the formation energy, the calculation gives -0.67 eV/atom. Its size of the total moment is 0.0 μB/cell. For the total energy, the calculation gives -111.163 eV/f.u. Its space group is P4/mmm (123).

a = 3.2580 Å, b = 3.2580 Å, c = 16.3090 Å
α = 90.00°, β = 90.00°, γ = 90.00°
Last column: nearest neighbours and their distance in Å.
Fractional positions:
Hf 0.0000 0.0000 0.0998  8 Os 2.82
Hf 0.0000 0.0000 0.2993  8 Os 2.81-2.82
Hf 0.0000 0.0000 0.7007  8 Os 2.81-2.82
Hf 0.0000 0.0000 0.9002  8 Os 2.82
Zr 0.0000 0.0000 0.5000  8 Os 2.84
Os 0.5000 0.5000 0.0000  8 Hf 2.82
Os 0.5000 0.5000 0.1991  8 Hf 2.82
Os 0.5000 0.5000 0.3979  4 Hf 2.81, 4 Zr 2.84
Os 0.5000 0.5000 0.6021  4 Hf 2.81, 4 Zr 2.84
Os 0.5000 0.5000 0.8009  8 Hf 2.82

***

First-principles (PBE) data for crystalline Hf4ZrOs at its relaxed geometry, as listed in Alexandria via LeMat-Bulk.

Summary:
For the formation energy, the calculation gives -0.20 eV/atom. For the energy above the most stable polymorph in this dataset, the calculation gives 0.000 eV per atom. Its size of the total moment is 0.0 μB/cell. For the total energy, the calculation gives -60.776 eV/f.u. Its space group is C2/m (12).

a = 5.7232 Å, b = 5.7232 Å, c = 6.0061 Å
α = 120.66°, β = 120.66°, γ = 49.53°
Last column: nearest neighbours and their distance in Å.
Fractional positions:
Hf 0.1507 0.1507 0.3047  2 Os 2.89, 7 Hf 2.96-3.22, 1 Zr 3.13
Hf 0.2024 0.2024 0.8417  1 Os 2.68, 3 Hf 2.87-2.96
Hf 0.7976 0.7976 0.1583  1 Os 2.68, 3 Hf 2.87-2.96
Hf 0.8493 0.8493 0.6953  2 Os 2.89, 7 Hf 2.96-3.22, 1 Zr 3.13
Zr 0.5000 0.5000 0.5000  2 Os 3.00, 6 Hf 3.09-3.13
Os 0.5000 0.5000 0.0000  6 Hf 2.68-2.89

***

First-principles (PBE) data for crystalline Hf3ZrOs at its relaxed geometry, as listed in Alexandria via LeMat-Bulk.

Summary:
For the formation energy, the calculation gives 0.11 eV/atom. For the energy above the most stable polymorph in this dataset, the calculation gives 0.000 eV per atom. Its size of the total moment is 0.0 μB/cell. For the total energy, the calculation gives -49.099 eV/f.u. Its space group is R-3m (166).

a = 7.1657 Å, b = 7.1657 Å, c = 7.1657 Å
α = 54.57°, β = 54.57°, γ = 54.57°
Last column: nearest neighbours and their distance in Å.
Fractional positions:
Hf 0.1017 0.5989 0.5989  2 Os 2.61-2.65
Hf 0.4011 0.4011 0.8983  2 Os 2.61-2.65
Hf 0.4011 0.8983 0.4011  2 Os 2.61-2.65
Hf 0.5989 0.1017 0.5989  2 Os 2.61-2.65
Hf 0.5989 0.5989 0.1017  2 Os 2.61-2.65
Hf 0.8983 0.4011 0.4011  2 Os 2.61-2.65
Zr 0.0911 0.0911 0.0911  9 Hf 3.22-3.29, 1 Zr 3.32
Zr 0.9089 0.9089 0.9089  9 Hf 3.22-3.29, 1 Zr 3.32
Os 0.3314 0.3314 0.3314  6 Hf 2.61-2.65
Os 0.6686 0.6686 0.6686  6 Hf 2.61-2.65

***

Q: Which of these has the lowest total energy?
A: Hf4ZrOs5

***

Copy entry 2 word for word.
First-principles (PBE) data for crystalline Hf4ZrOs at its relaxed geometry, as listed in Alexandria via LeMat-Bulk.

Summary:
For the formation energy, the calculation gives -0.20 eV/atom. For the energy above the most stable polymorph in this dataset, the calculation gives 0.000 eV per atom. Its size of the total moment is 0.0 μB/cell. For the total energy, the calculation gives -60.776 eV/f.u. Its space group is C2/m (12).

a = 5.7232 Å, b = 5.7232 Å, c = 6.0061 Å
α = 120.66°, β = 120.66°, γ = 49.53°
Last column: nearest neighbours and their distance in Å.
Fractional positions:
Hf 0.1507 0.1507 0.3047  2 Os 2.89, 7 Hf 2.96-3.22, 1 Zr 3.13
Hf 0.2024 0.2024 0.8417  1 Os 2.68, 3 Hf 2.87-2.96
Hf 0.7976 0.7976 0.1583  1 Os 2.68, 3 Hf 2.87-2.96
Hf 0.8493 0.8493 0.6953  2 Os 2.89, 7 Hf 2.96-3.22, 1 Zr 3.13
Zr 0.5000 0.5000 0.5000  2 Os 3.00, 6 Hf 3.09-3.13
Os 0.5000 0.5000 0.0000  6 Hf 2.68-2.89

***

Q: Which value of size of the total moment does entry 2 give?
A: 0.0 μB/cell